(1)
## CsZnCu2Sn (GGA-PBE)

Data for crystalline CsZnCu2Sn at its relaxed geometry.

abc: 5.6069 6.6857 5.6069
angles: 90.00 90.00 90.00
Atoms (fractional coordinates):
Sn (0.0000, 0.5000, 0.0000)
Cu (0.5000, 0.0000, 0.0000)
Cu (0.0000, 0.0000, 0.5000)
Cs (0.0000, 0.0000, 0.0000)
Zn (0.5000, 0.5000, 0.5000)

Values from the calculation:
- Density of states at the Fermi level: 1.09 states/eV per atom
- Crystal system: tetragonal
- M_tot: 0.0 μB/f.u.
- Space-group type: P4/mmm, No. 123
- E_form: 1.648 eV per atom

(2)
## CsSrCu3 (GGA-PBE)

Data for crystalline CsSrCu3 at its relaxed geometry.

abc: 5.8823 5.8823 5.8823
angles: 90.00 90.00 90.00
Atoms (fractional coordinates):
Cs (0.5000, 0.5000, 0.5000)
Cu (0.0000, 0.0000, 0.5000)
Cu (0.5000, 0.0000, 0.0000)
Cu (0.0000, 0.5000, 0.0000)
Sr (0.0000, 0.0000, 0.0000)

Values from the calculation:
- Density of states at the Fermi level: 0.00 states/eV per atom
- Crystal system: cubic
- M_tot: 0.0 μB/f.u.
- Space-group type: Pm-3m, No. 221
- E_form: 0.663 eV per atom

(3)
## CsSr2Cu (GGA-PBE)

Data for crystalline CsSr2Cu at its relaxed geometry.

abc: 4.5488 4.5488 12.5445
angles: 79.55 79.55 60.00
Atoms (fractional coordinates):
Sr (0.8783, 0.8783, 0.3650)
Sr (0.1217, 0.1217, 0.6350)
Cu (0.5000, 0.5000, 0.5000)
Cs (0.0000, 0.0000, 0.0000)

Values from the calculation:
- Density of states at the Fermi level: 0.88 states/eV per atom
- Crystal system: trigonal
- M_tot: 0.0 μB/f.u.
- Space-group type: R-3m, No. 166
- E_form: 0.099 eV per atom

(4)
## Cs2Sr4Cu (GGA-PBE)

Data for crystalline Cs2Sr4Cu at its relaxed geometry.

abc: 6.2004 6.2004 12.9464
angles: 76.15 76.15 90.00
Atoms (fractional coordinates):
Sr (0.8788, 0.8788, 0.2424)
Sr (0.1212, 0.1212, 0.7576)
Sr (0.0000, 0.5000, 0.0000)
Sr (0.5000, 0.0000, 0.0000)
Cs (0.6785, 0.6785, 0.6430)
Cs (0.3215, 0.3215, 0.3570)
Cu (0.0000, 0.0000, 0.0000)

Values from the calculation:
- Density of states at the Fermi level: 1.02 states/eV per atom
- Crystal system: tetragonal
- M_tot: 0.0 μB/f.u.
- Space-group type: I4/mmm, No. 139
- E_form: 0.129 eV per atom

> Among the records above, which one has the lowest E_form?

CsSr2Cu

> What is the E_form in the fourth record?

0.129 eV per atom